Entry 1:
{
  "formula": "FeNi3",
  "functional": "PBEsol",
  "state": "relaxed",
  "lattice_angstrom": [[3.4840, 0.0000, 0.0000], [0.0000, 3.4840, 0.0000], [0.0000, 0.0000, 3.4840]],
  "species": ["Ni", "Ni", "Ni", "Fe"],
  "frac_coords": [[0.0000, 0.5000, 0.5000], [0.5000, 0.0000, 0.5000], [0.5000, 0.5000, 0.0000], [0.0000, 0.0000, 0.0000]],
  "energy_ev_per_fu": -27.737,
  "m_tot_mub_per_atom": 1.189,
  "dos_at_fermi_per_ev_cell": 2.82,
  "formation_energy_mev_per_atom": -75,
  "crystal_system": "cubic",
  "vol_a3_per_atom": 10.6
}

Entry 2:
{
  "formula": "Fe17Ni12",
  "functional": "PBEsol",
  "state": "relaxed",
  "lattice_angstrom": [[-0.9984, -7.1439, -1.9035], [6.0256, 0.5934, 4.3584], [-5.9969, 2.4489, 3.7008]],
  "species": ["Fe", "Fe", "Fe", "Fe", "Fe", "Fe", "Fe", "Fe", "Fe", "Fe", "Fe", "Fe", "Fe", "Fe", "Fe", "Fe", "Fe", "Ni", "Ni", "Ni", "Ni", "Ni", "Ni", "Ni", "Ni", "Ni", "Ni", "Ni", "Ni"],
  "frac_coords": [[0.7187, 0.4032, 0.4032], [0.2813, 0.6845, 0.6845], [0.0000, 0.3155, 0.5968], [0.0000, 0.5968, 0.3155], [0.4032, 0.7187, 0.4032], [0.6845, 0.2813, 0.6845], [0.5968, 0.0000, 0.3155], [0.3155, 0.0000, 0.5968], [0.4032, 0.4032, 0.7187], [0.6845, 0.6845, 0.2813], [0.3155, 0.5968, 0.0000], [0.5968, 0.3155, 0.0000], [0.6437, 0.6437, 0.6437], [0.3563, 0.0000, 0.0000], [0.0000, 0.0000, 0.3563], [0.0000, 0.3563, 0.0000], [0.0000, 0.0000, 0.0000], [0.1863, 0.3772, 0.3772], [0.8137, 0.1909, 0.1909], [0.0000, 0.8091, 0.6228], [0.0000, 0.6228, 0.8091], [0.3772, 0.1863, 0.3772], [0.1909, 0.8137, 0.1909], [0.6228, 0.0000, 0.8091], [0.8091, 0.0000, 0.6228], [0.3772, 0.3772, 0.1863], [0.1909, 0.1909, 0.8137], [0.8091, 0.6228, 0.0000], [0.6228, 0.8091, 0.0000]],
  "energy_ev_per_fu": -224.288,
  "m_tot_mub_per_atom": 1.795,
  "dos_at_fermi_per_ev_cell": 28.03,
  "formation_energy_mev_per_atom": 68,
  "crystal_system": "cubic",
  "vol_a3_per_atom": 11.0
}

Entry 3:
{
  "formula": "FeNi3",
  "functional": "PBEsol",
  "state": "relaxed",
  "lattice_angstrom": [[2.4552, 0.0001, 0.0009], [1.2277, 2.1262, 0.0009], [1.2307, 0.7105, 8.0544]],
  "species": ["Ni", "Ni", "Ni", "Fe"],
  "frac_coords": [[0.2501, 0.2501, 0.2496], [0.5000, 0.5000, 0.5000], [0.7498, 0.7498, 0.7504], [0.0000, 0.0000, 0.0000]],
  "energy_ev_per_fu": -27.437,
  "m_tot_mub_per_atom": 1.078,
  "dos_at_fermi_per_ev_cell": 4.98,
  "formation_energy_mev_per_atom": 0,
  "crystal_system": "trigonal",
  "vol_a3_per_atom": 10.5
}